This record from the Alexandria database describes a PBEsol-optimized structure of TlGe3Rh. The functional is meta-GGA SCAN.

a = 5.079 Å, b = 5.079 Å, c = 5.079 Å
α = 90.00°, β = 90.00°, γ = 90.00°
Space group Pm-3m (No. 221)
Inequivalent atoms, fractional coordinates:
Tl: 0.000 0.000 0.000 (multiplicity 1)
Ge: 0.000 0.000 0.500 (multiplicity 3)
Rh: 0.500 0.500 0.500 (multiplicity 1)

Output
ρ   6.658 g cm⁻³
Energy of formation   1.6325 eV/atom
Magnetization   0.000 μB/f.u.
Electronic total energy   -2.282 Ry/atom